Entry from Alexandria: an optimized crystal structure of YTcIr2 (GGA-PBE).

Results
Energy in Ry per atom: -0.6429
Formation energy from the elements in kJ/mol of atoms: -10.57

Unit cell a=4.1493 b=4.1493 c=3.9442 alpha=90.00 beta=90.00 gamma=90.00
Last column: nearest neighbours and their distance in Å.
Space group P4/mmm (No. 123)
One atom of each set of equivalent atoms:
Y  0.0000  0.0000  0.0000 [1 per cell]  8 Ir 2.86, 4 Tc 2.93
Tc  0.5000  0.5000  0.0000 [1 per cell]  8 Ir 2.86, 4 Y 2.93
Ir  0.0000  0.5000  0.5000 [2 per cell]  4 Tc 2.86, 4 Y 2.86, 4 Ir 2.93